DFT (GGA-PBE) results for BaNaYB2O6 after structural relaxation.

mass density = 3.9 g/cm³
raw formation energy = -2785 meV per atom
calculated total energy = -7.5856 eV per atom

Lattice parameters (Å, degrees): 5.3924 5.3924 36.8283 90.00 90.00 120.00
Closest atoms and distances in Å follow each position.
Space group R-3 (No. 148, hexagonal axes)
One atom of each set of equivalent atoms:
Ba 0.0000 0.0000 0.1008  9 O 2.87-2.90
Na 0.0000 0.0000 0.3787  3 O 2.39
Y 0.0000 0.0000 0.0000  6 O 2.28
Y 0.0000 0.0000 0.5000  6 O 2.25
B 0.0000 0.0000 0.2052  3 O 1.38
B 0.0000 0.0000 0.2944  3 O 1.40
O 0.0374 0.5204 0.8723  1 B 1.38
O 0.0424 0.5814 0.3720  1 B 1.40